1.
# Sr2SiHgAu6 PBE relaxed
data_Sr2SiHgAu6
_chemical_formula_sum 'Sr4 Si2 Hg2 Au12'
_cell_length_a 5.916
_cell_length_b 9.025
_cell_length_c 9.084
_cell_angle_alpha 90.00
_cell_angle_beta 90.00
_cell_angle_gamma 90.00
_space_group_name_H-M_alt 'P m m n'
_space_group_IT_number 59
loop_
_space_group_symop_operation_xyz
'x,y,z'
'-x,-y,-z'
'-x+1/2,-y+1/2,z'
'x+1/2,y+1/2,-z'
'x+1/2,-y,-z'
'-x+1/2,y,z'
'-x,y+1/2,-z'
'x,-y+1/2,z'
loop_
_atom_site_label
_atom_site_fract_x
_atom_site_fract_y
_atom_site_fract_z
Sr1 0.250 0.010 0.231
Si1 0.250 0.250 0.733
Hg1 0.250 0.750 0.794
Au1 0.005 0.250 0.951
Au2 0.007 0.750 0.507
Au3 0.250 0.005 0.607
# Uncorrected energy (eV per atom): -3.3148
# Volume (Å³ per cell): 485
# Magnetization (μB/atom): 0.0000
# E_form (uncorrected) (meV per atom): -439.5

2.
# MnFeP2 PBE relaxed
data_MnFeP2
_chemical_formula_sum 'Mn3 Fe3 P6'
_cell_length_a 2.8546
_cell_length_b 2.8546
_cell_length_c 20.8766
_cell_angle_alpha 90.00
_cell_angle_beta 90.00
_cell_angle_gamma 120.00
_space_group_name_H-M_alt 'R 3 m'
_space_group_IT_number 160
_space_group_name_Hall 'R 3 -2"'
loop_
_atom_site_label
_atom_site_fract_x
_atom_site_fract_y
_atom_site_fract_z
Mn1 0.0000 0.0000 0.0000
Fe1 0.0000 0.0000 0.7633
P1 0.0000 0.0000 0.2608
P2 0.0000 0.0000 0.5017
# E_form (eV/atom): -0.01
# Uncorrected energy (eV per atom): -7.1232
# ΔE to the lowest computed polymorph (meV per atom): 580
# Volume (Å³ per cell): 147
# Magnetization (μB/atom): 0.6836

3.
# SmMg4Ag2 PBE relaxed
data_SmMg4Ag2
_chemical_formula_sum 'Sm2 Mg8 Ag4'
_cell_length_a 8.470
_cell_length_b 8.470
_cell_length_c 4.425
_cell_angle_alpha 90.00
_cell_angle_beta 90.00
_cell_angle_gamma 90.00
_space_group_name_H-M_alt 'P 42/m n m'
_space_group_IT_number 136
_space_group_name_Hall '-P 4n 2n'
loop_
_atom_site_label
_atom_site_fract_x
_atom_site_fract_y
_atom_site_fract_z
Sm1 0.000 0.000 0.000
Mg1 0.088 0.337 0.500
Ag1 0.214 0.786 0.500
# E_form (eV/atom): -0.18
# Uncorrected energy (eV per atom): -2.5827
# Volume (Å³ per cell): 317
# Magnetization (μB/atom): 0.0000

4.
# LuTh2Nb PBE relaxed
data_LuTh2Nb
_chemical_formula_sum 'Lu1 Th2 Nb1'
_cell_length_a 3.676
_cell_length_b 3.676
_cell_length_c 8.258
_cell_angle_alpha 90.00
_cell_angle_beta 90.00
_cell_angle_gamma 90.00
_space_group_name_H-M_alt 'P 4/m m m'
_space_group_IT_number 123
_space_group_name_Hall '-P 4 2'
loop_
_atom_site_label
_atom_site_fract_x
_atom_site_fract_y
_atom_site_fract_z
Lu1 0.000 0.000 0.000
Th1 0.500 0.500 0.280
Nb1 0.000 0.000 0.500
# E_form (eV/atom): 0.16
# Uncorrected energy (eV per atom): -7.2014
# ΔE to the lowest computed polymorph (meV per atom): 0
# Volume (Å³ per cell): 112
# Magnetization (μB/atom): 0.0000

5.
# Zr2IrPt PBE relaxed
data_Zr2IrPt
_chemical_formula_sum 'Zr4 Ir2 Pt2'
_cell_length_a 10.025
_cell_length_b 3.103
_cell_length_c 4.860
_cell_angle_alpha 90.00
_cell_angle_beta 99.85
_cell_angle_gamma 90.00
_space_group_name_H-M_alt 'C 1 m 1'
_space_group_IT_number 8
loop_
_space_group_symop_operation_xyz
'x,y,z'
'x,-y,z'
'x+1/2,y+1/2,z'
'x+1/2,-y+1/2,z'
loop_
_atom_site_label
_atom_site_fract_x
_atom_site_fract_y
_atom_site_fract_z
Zr1 0.000 0.000 0.000
Zr2 0.223 0.000 0.638
Ir1 0.242 0.500 0.147
Pt1 0.478 0.000 0.483
# E_form (eV/atom): -0.74
# Uncorrected energy (eV per atom): -8.7438
# Volume (Å³ per cell): 149
# Magnetization (μB/atom): 0.0000

6.
# Ce12Tl3N5 PBE relaxed
data_Ce12Tl3N5
_chemical_formula_sum 'Ce96 Tl24 N40'
_cell_length_a 16.046
_cell_length_b 16.046
_cell_length_c 16.046
_cell_angle_alpha 90.00
_cell_angle_beta 90.00
_cell_angle_gamma 90.00
_space_group_name_H-M_alt 'I a -3 d'
_space_group_IT_number 230
_space_group_name_Hall '-I 4bd 2c 3'
loop_
_atom_site_label
_atom_site_fract_x
_atom_site_fract_y
_atom_site_fract_z
Ce1 0.041 0.049 0.644
Tl1 0.000 0.250 0.125
N1 0.000 0.000 0.000
N2 0.000 0.250 0.375
# Uncorrected energy (eV per atom): -6.6318
# Volume (Å³ per cell): 4131
# Magnetization (μB/atom): 0.6658
# E_form (uncorrected) (meV per atom): -635.2